Record 1
First-principles (PBE) data for a geometry-optimized Tb4Er2Tm3 structure, as listed in the Alexandria database.

extended XYZ file:
```
18
Lattice="4.8110 -8.3170 0.0000 4.8110 8.3170 0.0000 0.0000 0.0000 6.9317" Properties=species:S:1:pos:R:3 pbc="T T T"
Tb 3.4295 5.4107 0.0000
Tb 3.2192 0.2752 0.0000
Tb 6.1924 5.4107 3.4658
Tb 3.2192 -0.2752 3.4658
Tb 6.4028 0.2752 3.4658
Tb 3.4295 -5.4107 3.4658
Tb 6.4028 -0.2752 0.0000
Tb 6.1924 -5.4107 0.0000
Er 1.8346 2.6462 3.4658
Er 1.8346 -2.6462 0.0000
Er 7.7873 2.6462 0.0000
Er 7.7873 -2.6462 3.4658
Tm 0.0000 0.0000 1.7329
Tm 0.0000 0.0000 5.1988
Tm 4.8110 2.7965 1.7329
Tm 4.8110 2.7965 5.1988
Tm 4.8110 -2.7965 1.7329
Tm 4.8110 -2.7965 5.1988
```

Output
**Magnetic moment**: 0.00 μB per cell
**Polymorph energy (0 for the lowest one)**: 0.0 meV per atom
**ΔH_f (0 K)**: 0.051 eV per atom
**Space group**: Cccm

=====

Record 2
First-principles (PBE) data for a geometry-optimized Tb2Er9Tm structure, as listed in the Alexandria database.

extended XYZ file:
```
12
Lattice="4.9595 0.0000 0.0000 0.0000 4.9595 0.0000 0.0000 0.0000 14.8755" Properties=species:S:1:pos:R:3 pbc="T T T"
Tb 0.0000 0.0000 2.4866
Tb 0.0000 0.0000 12.3889
Er 0.0000 2.4797 0.0000
Er 0.0000 2.4797 4.9757
Er 0.0000 2.4797 9.8997
Er 2.4797 0.0000 0.0000
Er 2.4797 0.0000 4.9757
Er 2.4797 0.0000 9.8997
Er 2.4797 2.4797 2.4912
Er 2.4797 2.4797 7.4377
Er 2.4797 2.4797 12.3843
Tm 0.0000 0.0000 7.4377
```

Output
**Magnetic moment**: 0.00 μB per cell
**Polymorph energy (0 for the lowest one)**: 0.0 meV per atom
**ΔH_f (0 K)**: 0.024 eV per atom
**Space group**: P4/mmm

=====

Record 3
First-principles (PBE) data for a geometry-optimized Tb3Er2Tm5 structure, as listed in the Alexandria database.

extended XYZ file:
```
20
Lattice="5.2679 -7.7663 0.0000 5.2679 7.7663 0.0000 -5.2581 0.0000 7.7314" Properties=species:S:1:pos:R:3 pbc="T T T"
Tb 1.2917 1.9069 0.3591
Tb 1.3243 4.1492 5.7985
Tb -1.3373 -1.9069 4.2248
Tb 6.6151 1.9069 3.5066
Tb 3.9534 -4.1492 1.9328
Tb 3.9860 -1.9069 7.3722
Er 1.2963 1.8519 3.4888
Er -1.3328 -1.8519 7.3545
Er 6.6105 1.8519 0.3768
Er 3.9814 -1.8519 4.2425
Tm 1.3243 7.3472 5.7985
Tm -1.3066 1.7559 5.8964
Tm 3.9534 3.5594 1.9328
Tm 1.3225 -1.7559 2.0308
Tm 3.9534 0.4403 1.9328
Tm 1.3243 -0.4403 5.7985
Tm 3.9552 1.7559 5.7006
Tm 1.3243 -3.5594 5.7985
Tm 6.5843 -1.7559 1.8349
Tm 3.9534 -7.3472 1.9328
```

Output
**Magnetic moment**: 0.00 μB per cell
**Polymorph energy (0 for the lowest one)**: 0.0 meV per atom
**ΔH_f (0 K)**: 0.203 eV per atom
**Space group**: C2/c

=====

Record 4
First-principles (PBE) data for a geometry-optimized Tb4ErTm4 structure, as listed in the Alexandria database.

extended XYZ file:
```
9
Lattice="-5.2783 5.2783 2.4810 5.2783 -5.2783 2.4810 5.2783 5.2783 -2.4810" Properties=species:S:1:pos:R:3 pbc="T T T"
Tb 3.5061 0.0000 0.0000
Tb 7.0504 0.0000 0.0000
Tb 0.0000 3.5061 0.0000
Tb 0.0000 7.0504 0.0000
Er 0.0000 0.0000 0.0000
Tm 3.5228 3.5228 0.0000
Tm 1.7555 -1.7555 2.4810
Tm -1.7555 1.7555 2.4810
Tm 1.7555 1.7555 2.4810
```

Output
**Magnetic moment**: 0.00 μB per cell
**ΔH_f (0 K)**: 0.022 eV per atom
**Space group**: I4/mmm

=====

Record 5
First-principles (PBE) data for a geometry-optimized Tb7Er2Tm3 structure, as listed in the Alexandria database.

extended XYZ file:
```
12
Lattice="5.4344 0.0000 0.0000 0.0119 6.1705 0.0000 0.0048 0.1667 11.9346" Properties=species:S:1:pos:R:3 pbc="T T T"
Tb 0.0000 0.0000 0.0000
Tb 0.0099 2.8409 9.7680
Tb 5.4412 3.4964 2.1666
Tb 2.7152 1.5668 6.5081
Tb 2.7222 0.6903 9.9090
Tb 2.7289 5.6469 2.0255
Tb 2.7359 4.7704 5.4264
Er 2.7222 2.4552 3.3057
Er 2.7289 3.8821 8.6288
Tm 0.0030 0.4186 4.0805
Tm 5.4481 5.9186 7.8541
Tm 2.7232 3.0853 0.0000
```

Output
**Magnetic moment**: 0.00 μB per cell
**Polymorph energy (0 for the lowest one)**: 220.1 meV per atom
**ΔH_f (0 K)**: 0.310 eV per atom
**Space group**: P-1

=====

Record 6
First-principles (PBE) data for a geometry-optimized Tb3Er8Tm2 structure, as listed in the Alexandria database.

extended XYZ file:
```
13
Lattice="6.0731 0.0000 0.0000 1.0067 5.9955 0.0000 2.0178 -0.3284 10.8996" Properties=species:S:1:pos:R:3 pbc="T T T"
Tb 0.0000 0.0000 0.0000
Tb 2.0228 2.7418 0.8464
Tb 7.0747 2.9253 10.0532
Er 2.0156 0.6907 7.5289
Er 2.0224 1.7182 4.2032
Er 4.0366 3.4303 8.3664
Er 4.0471 5.4869 1.6934
Er 5.0505 0.1803 9.2063
Er 5.0610 2.2369 2.5333
Er 7.0751 3.9490 6.6965
Er 7.0820 4.9765 3.3707
Tm 4.0427 4.4596 5.0360
Tm 5.0548 1.2075 5.8637
```

Output
**Magnetic moment**: 0.00 μB per cell
**Polymorph energy (0 for the lowest one)**: 0.0 meV per atom
**ΔH_f (0 K)**: 0.023 eV per atom
**Space group**: P-1